(1)
Here is crystalline LiDy2ErSe4 at its relaxed geometry from Alexandria. Energies are from PBE-GGA.

Cell lengths 6.988, 4.026, 6.996 Å; angles 90.00, 109.26, 90.00 degrees
Space group P2/m (No. 10)
One atom of each set of equivalent atoms:
Li (0.000, 0.000, 0.000)
Dy (0.000, 0.500, 0.500)
Dy (0.500, 0.000, 0.500)
Er (0.500, 0.500, 0.000)
Se (0.243, 0.500, 0.241)
Se (0.247, 0.000, 0.758)

Summary:
As for the raw formation energy: -1734 meV per atom.



(2)
Here is crystalline LiDy3Er2Se6 at its relaxed geometry from Alexandria. Energies are from PBE-GGA.

Cell lengths 6.970, 12.101, 7.018 Å; angles 90.00, 109.49, 90.00 degrees
Space group C2/m (No. 12)
One atom of each set of equivalent atoms:
Li (0.000, 0.000, 0.000)
Dy (0.000, 0.167, 0.500)
Dy (0.000, 0.500, 0.500)
Er (0.000, 0.335, 0.000)
Se (0.243, 0.000, 0.760)
Se (0.243, 0.163, 0.242)

Summary:
As for the raw formation energy: -1735 meV per atom.



(3)
Here is crystalline Li2Dy3ErSe6 at its relaxed geometry from Alexandria. Energies are from PBE-GGA.

Cell lengths 6.972, 12.074, 6.985 Å; angles 90.00, 109.43, 90.00 degrees
Space group C2/m (No. 12)
One atom of each set of equivalent atoms:
Li (0.000, 0.168, 0.000)
Dy (0.000, 0.000, 0.500)
Dy (0.000, 0.334, 0.500)
Er (0.000, 0.500, 0.000)
Se (0.243, 0.000, 0.242)
Se (0.249, 0.331, 0.241)

Summary:
As for the raw formation energy: -1727 meV per atom.